Arrangement P

Compound: LiCoSiO4
Source: Alexandria
Functional: GGA-PBEsol
Structure: optimized geometry

Cell and atoms, written as CIF:
```
data_LiCoSiO4
_chemical_formula_sum 'Li3 Co3 Si3 O12'
_space_group_name_H-M_alt 'P 62 2 2'
_space_group_IT_number 180
_space_group_name_Hall 'P 62 2 (0 0 4)'
_cell_length_a 5.4298
_cell_length_b 5.4298
_cell_length_c 11.2732
_cell_angle_alpha 90.00
_cell_angle_beta 90.00
_cell_angle_gamma 120.00
loop_
_atom_site_label
_atom_site_type_symbol
_atom_site_fract_x
_atom_site_fract_y
_atom_site_fract_z
_atom_site_occupancy
Li1 Li 0.0000 0.0000 0.0000 1
Co1 Co 0.0000 0.5000 0.6667 1
Si1 Si 0.0000 0.5000 0.1667 1
O1 O 0.1723 0.3926 0.2516 1
```

Arrangement Q

Compound: LiCoSiO4
Source: Alexandria
Functional: GGA-PBEsol
Structure: optimized geometry

Cell and atoms, written as CIF:
```
data_LiCoSiO4
_chemical_formula_sum 'Li4 Co4 Si4 O16'
_space_group_name_H-M_alt 'C m c m'
_space_group_IT_number 63
_space_group_name_Hall '-C 2c 2'
_cell_length_a 5.167
_cell_length_b 8.095
_cell_length_c 5.895
_cell_angle_alpha 90.00
_cell_angle_beta 90.00
_cell_angle_gamma 90.00
loop_
_atom_site_label
_atom_site_type_symbol
_atom_site_fract_x
_atom_site_fract_y
_atom_site_fract_z
_atom_site_occupancy
Li1 Li 0.000 0.168 0.250 1
Co1 Co 0.000 0.500 0.000 1
Si1 Si 0.000 0.159 0.750 1
O1 O 0.000 0.270 0.525 1
O2 O 0.249 0.478 0.250 1
```

Least stable structure among those shown: arrangement P.